Entry 1:
Density functional theory data (PBE-GGA) for a relaxed structure of SbIBr2.

abc: 3.7632 3.7632 32.9622
angles: 90.00 90.00 120.00
With the nearest neighbours (Å) after each atom.
Space group R-3m (No. 166, hexagonal axes)
Asymmetric unit:
Sb 0.0000 0.0000 0.0000 (multiplicity 3)  6 Br 3.03
I 0.0000 0.0000 0.5000 (multiplicity 3)  2 Br 3.38, 6 I 3.76
Br 0.0000 0.0000 0.3975 (multiplicity 6)  3 Sb 3.03, 1 I 3.38

Calculated values
- ΔE_f (raw): 21 meV per atom
- Crystal system: trigonal
- ρ: 5.0 g cm⁻³
- Electronic total energy: -2.234 eV/atom

=====

Entry 2:
Density functional theory data (PBE-GGA) for a relaxed structure of SbIBr4.

abc: 5.2498 8.0119 8.4872
angles: 68.49 76.42 75.77
With the nearest neighbours (Å) after each atom.
Space group P1 (No. 1)
Asymmetric unit:
Sb 0.0000 0.0000 0.0000 (multiplicity 1)  3 Br 2.53-2.57
I 0.2868 0.3319 0.3237 (multiplicity 1)  2 Br 2.62-2.88
Br 0.1712 0.8222 0.7922 (multiplicity 1)  1 Sb 2.53
Br 0.6569 0.2458 0.8346 (multiplicity 1)  1 Sb 2.55
Br 0.6737 0.7955 0.2085 (multiplicity 1)  1 Sb 2.57
Br 0.7964 0.2227 0.3361 (multiplicity 1)  2 I 2.62-2.88

Calculated values
- ΔE_f (raw): -369 meV per atom
- Crystal system: triclinic
- ρ: 3.0 g cm⁻³
- Electronic total energy: -2.429 eV/atom

=====

Entry 3:
Density functional theory data (PBE-GGA) for a relaxed structure of Sb2I4Br.

abc: 7.8143 9.2567 10.5151
angles: 75.89 89.11 74.58
With the nearest neighbours (Å) after each atom.
Space group P1 (No. 1)
Asymmetric unit:
Sb 0.0000 0.0000 0.0000 (multiplicity 1)  3 I 2.87-3.20
Sb 0.0014 0.4875 0.0145 (multiplicity 1)  3 I 2.79-3.01
Sb 0.0274 0.0212 0.4781 (multiplicity 1)  1 Br 2.53
Sb 0.4606 0.6499 0.7788 (multiplicity 1)  1 Br 2.57, 1 I 2.82
I 0.1783 0.5472 0.7020 (multiplicity 1)  1 Sb 2.82
I 0.2158 0.0269 0.7155 (multiplicity 1)  1 Sb 2.94
I 0.2540 0.1383 0.0897 (multiplicity 1)  2 Sb 2.91-3.22
I 0.2859 0.5997 0.0913 (multiplicity 1)  1 Sb 2.89
I 0.7275 0.3320 0.8820 (multiplicity 1)  3 Sb 3.07-3.36
I 0.7559 0.8064 0.9093 (multiplicity 1)  2 Sb 3.01-3.24
I 0.8293 0.9520 0.2441 (multiplicity 1)  2 Sb 2.87-3.21
I 0.8521 0.4473 0.2587 (multiplicity 1)  1 Sb 2.79
Br 0.5736 0.7060 0.5457 (multiplicity 1)  1 Sb 2.57
Br 0.7207 0.1221 0.5547 (multiplicity 1)  1 Sb 2.53

Calculated values
- ΔE_f (raw): -244 meV per atom
- Crystal system: triclinic
- ρ: 3.9 g cm⁻³
- Electronic total energy: -2.547 eV/atom